[1]
# CeIn3Se6 PBE-GGA relaxed
data_CeIn3Se6
_cell_length_a 11.4739
_cell_length_b 4.1480
_cell_length_c 12.0037
_cell_angle_alpha 90.00
_cell_angle_beta 112.46
_cell_angle_gamma 90.00
_space_group_name_H-M_alt 'P 1 21/m 1'
_space_group_IT_number 11
_space_group_name_Hall '-P 2yb'
loop_
_atom_site_label
_atom_site_type_symbol
_atom_site_fract_x
_atom_site_fract_y
_atom_site_fract_z
_atom_site_occupancy
Ce1 Ce 0.2043 0.2500 0.0525 1
In1 In 0.0236 0.7500 0.2980 1
In2 In 0.3362 0.2500 0.4429 1
In3 In 0.4003 0.7500 0.8315 1
Se1 Se 0.0373 0.7500 0.9005 1
Se2 Se 0.1049 0.2500 0.4536 1
Se3 Se 0.2343 0.2500 0.7989 1
Se4 Se 0.2394 0.7500 0.2547 1
Se5 Se 0.4094 0.7500 0.0706 1
Se6 Se 0.4401 0.7500 0.6046 1
# E_form (uncorrected) (eV/atom): -0.811

[2]
# CeIn2Se6 PBE-GGA relaxed
data_CeIn2Se6
_cell_length_a 13.5255
_cell_length_b 12.4483
_cell_length_c 7.3022
_cell_angle_alpha 90.00
_cell_angle_beta 114.65
_cell_angle_gamma 90.00
_space_group_name_H-M_alt 'C 1 2/c 1'
_space_group_IT_number 15
_space_group_name_Hall '-C 2yc'
loop_
_atom_site_label
_atom_site_type_symbol
_atom_site_fract_x
_atom_site_fract_y
_atom_site_fract_z
_atom_site_occupancy
Ce1 Ce 0.0000 0.0871 0.2500 1
In1 In 0.2023 0.3932 0.3998 1
Se1 Se 0.0768 0.4455 0.6045 1
Se2 Se 0.1203 0.0843 0.6768 1
Se3 Se 0.1735 0.2035 0.2198 1
# E_form (uncorrected) (eV/atom): -0.706

[3]
# Ce2InSe6 PBE-GGA relaxed
data_Ce2InSe6
_cell_length_a 6.6258
_cell_length_b 6.6258
_cell_length_c 12.8088
_cell_angle_alpha 90.00
_cell_angle_beta 90.00
_cell_angle_gamma 90.00
_space_group_name_H-M_alt 'P 42/m n m'
_space_group_IT_number 136
_space_group_name_Hall '-P 4n 2n'
loop_
_atom_site_label
_atom_site_type_symbol
_atom_site_fract_x
_atom_site_fract_y
_atom_site_fract_z
_atom_site_occupancy
Ce1 Ce 0.0000 0.0000 0.1678 1
In1 In 0.0000 0.0000 0.5000 1
Se1 Se 0.1970 0.1970 0.3404 1
Se2 Se 0.1983 0.1983 0.0000 1
# E_form (uncorrected) (eV/atom): -1.003

[4]
# Ce3InSe6 PBE-GGA relaxed
data_Ce3InSe6
_cell_length_a 11.3731
_cell_length_b 14.0556
_cell_length_c 7.1866
_cell_angle_alpha 90.00
_cell_angle_beta 90.00
_cell_angle_gamma 90.00
_space_group_name_H-M_alt 'C m c 21'
_space_group_IT_number 36
_space_group_name_Hall 'C 2c -2'
loop_
_atom_site_label
_atom_site_type_symbol
_atom_site_fract_x
_atom_site_fract_y
_atom_site_fract_z
_atom_site_occupancy
Ce1 Ce 0.0000 0.1009 0.0000 1
Ce2 Ce 0.1837 0.3973 0.8983 1
In1 In 0.0000 0.3279 0.3842 1
Se1 Se 0.0000 0.2687 0.7524 1
Se2 Se 0.0000 0.4909 0.1441 1
Se3 Se 0.1629 0.0308 0.7012 1
Se4 Se 0.1694 0.2358 0.1834 1
# E_form (uncorrected) (eV/atom): -1.481